This record from the Alexandria database describes a relaxed Ga2Co21B6 crystal. The functional is PBEsol. Values from VASP.

Geometry as Quantum ESPRESSO input:
```
&SYSTEM
  ibrav = 0, nat = 29, ntyp = 3
/
ATOMIC_SPECIES
Co 58.93 Co.upf
B 10.81 B.upf
Ga 69.72 Ga.upf
CELL_PARAMETERS angstrom
-3.375 -6.439 0.516
1.624 -4.538 5.466
-4.834 -1.164 5.328
ATOMIC_POSITIONS crystal
Co 0.146 0.618 0.618
Co 0.336 0.664 0.000
B 0.723 0.277 0.277
B 0.277 0.723 0.277
Co 0.000 0.664 0.000
Co 0.618 0.618 0.618
Co 0.618 0.618 0.146
Ga 0.750 0.750 0.750
B 0.277 0.277 0.723
Co 0.664 0.000 0.336
B 0.723 0.723 0.277
Co 0.000 0.664 0.336
Co 0.000 0.336 0.664
B 0.723 0.277 0.723
Co 0.336 0.000 0.664
Co 0.000 0.000 0.336
Ga 0.250 0.250 0.250
Co 0.664 0.000 0.000
Co 0.000 0.336 0.000
Co 0.382 0.382 0.382
Co 0.664 0.336 0.000
Co 0.618 0.146 0.618
Co 0.382 0.382 0.854
Co 0.000 0.000 0.000
Co 0.382 0.854 0.382
Co 0.336 0.000 0.000
Co 0.854 0.382 0.382
Co 0.000 0.000 0.664
B 0.277 0.723 0.723
```

ΔH_f (0 K) = -0.246 eV/atom
symmetry = Fm-3m, No. 225


This record from the Alexandria database describes a relaxed V5BiO10 crystal. The functional is PBEsol. Values from VASP.

Geometry as Quantum ESPRESSO input:
```
&SYSTEM
  ibrav = 0, nat = 64, ntyp = 3
/
ATOMIC_SPECIES
V 50.94 V.upf
O 16.00 O.upf
Bi 208.98 Bi.upf
CELL_PARAMETERS angstrom
9.948 0.000 0.000
-4.974 8.692 0.298
0.000 5.406 8.351
ATOMIC_POSITIONS crystal
V 0.543 0.802 0.929
O 0.547 0.396 0.110
V 0.457 0.198 0.071
O 0.702 0.000 0.341
O 0.336 0.000 0.041
V 0.929 0.198 0.259
O 0.357 0.800 0.938
O 0.453 0.604 0.890
O 0.341 0.000 0.298
V 0.057 0.402 0.470
Bi 0.887 0.775 0.113
O 0.089 0.796 0.951
V 0.530 0.402 0.656
V 0.269 0.198 0.543
O 0.293 0.204 0.747
O 0.643 0.200 0.062
V 0.145 0.000 0.327
O 0.557 0.200 0.738
V 0.872 0.402 0.943
V 0.943 0.598 0.530
V 0.656 0.598 0.872
O 0.738 0.800 0.643
V 0.741 0.198 0.731
O 0.664 0.000 0.959
O 0.253 0.204 0.089
O 0.707 0.796 0.253
O 0.298 0.000 0.659
V 0.470 0.598 0.344
O 0.747 0.796 0.911
O 0.506 0.396 0.453
V 0.344 0.402 0.128
O 0.951 0.204 0.707
O 0.158 0.401 0.137
Bi 0.327 0.654 0.673
O 0.110 0.604 0.849
V 0.327 0.000 0.855
O 0.243 0.401 0.463
V 0.731 0.802 0.457
O 0.262 0.200 0.357
O 0.494 0.604 0.547
O 0.911 0.204 0.049
V 0.673 0.000 0.145
O 0.938 0.200 0.443
V 0.071 0.802 0.741
O 0.137 0.599 0.243
V 0.855 0.000 0.673
O 0.537 0.401 0.842
O 0.959 0.000 0.336
O 0.842 0.599 0.863
O 0.463 0.599 0.158
Bi 0.113 0.225 0.887
O 0.443 0.800 0.262
O 0.041 0.000 0.664
O 0.049 0.796 0.293
O 0.151 0.604 0.506
V 0.128 0.598 0.057
Bi 0.673 0.346 0.327
O 0.849 0.396 0.494
O 0.863 0.401 0.757
O 0.659 0.000 0.702
O 0.890 0.396 0.151
V 0.259 0.802 0.269
O 0.757 0.599 0.537
O 0.062 0.800 0.557
```

formation energy from raw total energies = -2.225 eV per atom
symmetry = I4/m, No. 87